Compound: HfMgZnNi
Source: the Alexandria database
Functional: PBE-GGA
Structure: optimized geometry

a b c (Å): 4.5008 4.5008 4.5008
angles (deg): 60.00 60.00 60.00
Element x y z (fractional)
Hf: 0.0000 0.0000 0.0000
Mg: 0.5000 0.5000 0.5000
Zn: 0.7500 0.7500 0.7500
Ni: 0.2500 0.2500 0.2500

Properties
Volume: 64 Å³/f.u.
SG: F-43m (216)
Electronic total energy: -4.910 eV per atom
Energy relative to the elements: -0.26 eV per atom